Here is crystalline AcGa2Au4 at its relaxed geometry from Alexandria via LeMat-Bulk. Energies are from GGA-PBE.

Unit cell a=4.767 b=4.747 c=7.024 alpha=109.75 beta=90.00 gamma=90.00
Positions (direct):
Au: 0.000 0.680 0.359
Au: 0.000 0.320 0.641
Ac: 0.000 0.000 0.000
Au: 0.500 0.819 0.639
Ga: 0.500 0.403 0.807
Au: 0.500 0.181 0.361
Ga: 0.500 0.597 0.193

Results
formation energy: -0.52 eV per atom
DOS at the Fermi energy: 3.08 states/eV/f.u.
magnetization: 0.000 μB per formula unit

***

Here is crystalline MgBe4Ag at its relaxed geometry from Alexandria via LeMat-Bulk. Energies are from GGA-PBE.

Unit cell a=4.556 b=4.556 c=4.556 alpha=60.00 beta=60.00 gamma=60.00
Positions (direct):
Be: 0.877 0.374 0.374
Mg: 0.750 0.750 0.750
Be: 0.374 0.877 0.374
Be: 0.374 0.374 0.374
Ag: 0.000 0.000 0.000
Be: 0.374 0.374 0.877

Results
formation energy: 0.01 eV per atom
DOS at the Fermi energy: 0.87 states/eV/f.u.
magnetization: 0.000 μB per formula unit

***

Here is crystalline Nd12Tm3Al at its relaxed geometry from Alexandria via LeMat-Bulk. Energies are from GGA-PBE.

Unit cell a=5.061 b=5.061 c=20.481 alpha=90.00 beta=90.00 gamma=90.00
Positions (direct):
Nd: 0.500 0.500 0.000
Nd: 0.500 0.000 0.373
Nd: 0.500 0.000 0.882
Nd: 0.500 0.000 0.118
Nd: 0.000 0.500 0.882
Nd: 0.500 0.500 0.755
Nd: 0.000 0.500 0.373
Nd: 0.500 0.000 0.627
Nd: 0.500 0.500 0.500
Tm: 0.000 0.000 0.753
Tm: 0.000 0.000 0.500
Tm: 0.000 0.000 0.247
Al: 0.000 0.000 0.000
Nd: 0.000 0.500 0.118
Nd: 0.000 0.500 0.627
Nd: 0.500 0.500 0.245

Results
formation energy: -0.02 eV per atom
DOS at the Fermi energy: 20.89 states/eV/f.u.
magnetization: 0.000 μB per formula unit

***

Here is crystalline Eu2ZnSb2 at its relaxed geometry from Alexandria via LeMat-Bulk. Energies are from GGA-PBE.

Unit cell a=4.631 b=4.631 c=8.160 alpha=90.00 beta=90.00 gamma=120.00
Each line ends with the local moment (μB).
Positions (direct):
Zn: 0.000 0.000 0.500  0.03
Eu: 0.667 0.333 0.225  6.79
Eu: 0.667 0.333 0.775  6.79
Sb: 0.333 0.667 0.500  -0.02
Sb: 0.000 0.000 0.000  -0.11

Results
DOS at the Fermi energy: 18.18 states/eV/f.u.
total DFT energy (no corrections): -6.76 eV per atom
magnetization: 13.842 μB per formula unit

***

Here is crystalline Rb3Tl2Te4 at its relaxed geometry from Alexandria via LeMat-Bulk. Energies are from GGA-PBE.

Unit cell a=5.205 b=8.320 c=11.215 alpha=118.93 beta=90.00 gamma=108.23
Positions (direct):
Tl: 0.319 0.638 0.654
Te: 0.305 0.610 0.898
Tl: 0.681 0.362 0.346
Rb: 0.378 0.756 0.273
Te: 0.105 0.211 0.405
Rb: 0.000 0.000 0.000
Te: 0.695 0.390 0.102
Te: 0.895 0.789 0.595
Rb: 0.622 0.244 0.727

Results
DOS at the Fermi energy: 1.01 states/eV/f.u.
total DFT energy (no corrections): -2.86 eV per atom
magnetization: 0.000 μB per formula unit

***

Here is crystalline Yb3Ti at its relaxed geometry from Alexandria via LeMat-Bulk. Energies are from GGA-PBE.

Unit cell a=4.886 b=4.886 c=4.886 alpha=90.00 beta=90.00 gamma=90.00
Each line ends with the local moment (μB).
Positions (direct):
Yb: 0.000 0.500 0.500  -0.06
Ti: 0.000 0.000 0.000  1.40
Yb: 0.500 0.500 0.000  -0.06
Yb: 0.500 0.000 0.500  -0.06

Results
formation energy: 0.21 eV per atom
DOS at the Fermi energy: 26.48 states/eV/f.u.
magnetization: 1.944 μB per formula unit

***

Here is crystalline Ti7Al2In at its relaxed geometry from Alexandria via LeMat-Bulk. Energies are from GGA-PBE.

Unit cell a=4.726 b=7.349 c=7.349 alpha=122.74 beta=90.00 gamma=90.00
Positions (direct):
Ti: 0.500 0.288 0.059
Ti: 0.500 0.059 0.288
Al: 0.500 0.704 0.296
Ti: 0.500 0.500 0.500
Ti: 0.500 0.941 0.712
In: 0.000 0.000 0.000
Ti: 0.500 0.712 0.941
Ti: 0.000 0.226 0.774
Ti: 0.000 0.774 0.226
Al: 0.500 0.296 0.704

Results
formation energy: 0.50 eV per atom
DOS at the Fermi energy: 13.79 states/eV/f.u.
magnetization: 0.000 μB per formula unit

***

Here is crystalline NdThPdRu at its relaxed geometry from Alexandria via LeMat-Bulk. Energies are from GGA-PBE.

Unit cell a=5.055 b=5.055 c=5.055 alpha=60.00 beta=60.00 gamma=60.00
Positions (direct):
Ru: 0.750 0.750 0.750
Pd: 0.250 0.250 0.250
Nd: 0.500 0.500 0.500
Th: 0.000 0.000 0.000

Results
formation energy: -0.49 eV per atom
DOS at the Fermi energy: 3.47 states/eV/f.u.
magnetization: 0.000 μB per formula unit